Record 1
CeY4S7: relaxed, GGA-PBEsol.

a = 6.684 Å, b = 6.684 Å, c = 11.519 Å
α = 104.15°, β = 104.15°, γ = 32.84°
Positions (direct):
Ce 0.000 0.000 0.000
Y 0.187 0.187 0.764
Y 0.586 0.586 0.391
Y 0.773 0.773 0.160
Y 0.887 0.887 0.576
S 0.149 0.149 0.232
S 0.228 0.228 0.528
S 0.384 0.384 0.083
S 0.545 0.545 0.628
S 0.633 0.633 0.927
S 0.843 0.843 0.790
S 0.930 0.930 0.363

Symmetry   Cm, No. 8
Crystal system   monoclinic

Record 2
CeY3S6: relaxed, GGA-PBEsol.

a = 10.918 Å, b = 3.918 Å, c = 11.197 Å
α = 90.00°, β = 108.66°, γ = 90.00°
Positions (direct):
Ce 0.049 0.250 0.194
Ce 0.951 0.750 0.806
Y 0.160 0.250 0.585
Y 0.320 0.750 0.999
Y 0.438 0.250 0.333
Y 0.562 0.750 0.667
Y 0.680 0.250 0.001
Y 0.840 0.750 0.415
S 0.084 0.750 0.403
S 0.117 0.250 0.963
S 0.192 0.750 0.751
S 0.260 0.750 0.227
S 0.394 0.250 0.559
S 0.482 0.250 0.114
S 0.518 0.750 0.886
S 0.606 0.750 0.441
S 0.740 0.250 0.773
S 0.808 0.250 0.249
S 0.883 0.750 0.037
S 0.916 0.250 0.597

Symmetry   P2_1/m, No. 11
Crystal system   monoclinic

Record 3
CeSb: relaxed, GGA-PBEsol.

a = 4.420 Å, b = 4.420 Å, c = 4.420 Å
α = 60.00°, β = 60.00°, γ = 60.00°
Positions (direct):
Ce 0.000 0.000 0.000
Sb 0.500 0.500 0.500

Symmetry   Fm-3m, No. 225
Crystal system   cubic

Record 4
CeSb3: relaxed, GGA-PBEsol.

a = 4.673 Å, b = 4.673 Å, c = 4.673 Å
α = 90.00°, β = 90.00°, γ = 90.00°
Positions (direct):
Ce 0.000 0.000 0.000
Sb 0.000 0.500 0.500
Sb 0.500 0.000 0.500
Sb 0.500 0.500 0.000

Symmetry   Pm-3m, No. 221
Crystal system   cubic

So what do the calculations give for energy relative to the elements, uncorrected? Going down the list: -2.089 -2.110 -0.966 -0.589 eV/atom.